# 1
Zr2TiRh3 after structural relaxation, computed with GGA-PBE.

Unit cell a=4.3605 b=14.7999 c=3.2168 alpha=90.00 beta=90.00 gamma=90.00
Closest atoms and distances in Å follow each position.
Space group Pmmn (No. 59, origin choice 2)
Unique sites:
1 Zr 0.2500 0.0767 0.2482 [4 per cell]  7 Rh 2.76-3.03
2 Ti 0.2500 0.7500 0.7527 [2 per cell]  8 Rh 2.60-2.71
3 Rh 0.2500 0.2500 0.7469 [2 per cell]  4 Ti 2.71, 4 Rh 2.99, 4 Zr 3.03
4 Rh 0.2500 0.6114 0.2519 [4 per cell]  2 Ti 2.60-2.61, 5 Zr 2.76-2.78

Values from the calculation:
ΔH_f (0 K) in eV per atom: -0.809
DOS(E_F) in states/eV/atom: 0.57
DFT total energy in eV per atom: -8.6499

# 2
Zr2Ti2Rh after structural relaxation, computed with GGA-PBE.

Unit cell a=3.9302 b=3.9302 c=12.7628 alpha=90.00 beta=90.00 gamma=90.00
Closest atoms and distances in Å follow each position.
Space group I4/mmm (No. 139)
Unique sites:
1 Zr 0.0000 0.5000 0.2500 [4 per cell]  4 Zr 2.78, 4 Ti 2.92
2 Ti 0.0000 0.0000 0.0812 [4 per cell]  1 Ti 2.07
3 Rh 0.0000 0.0000 0.5000 [2 per cell]  8 Ti 2.97

Values from the calculation:
ΔH_f (0 K) in eV per atom: 0.535
DOS(E_F) in states/eV/atom: 1.32
ΔE to the lowest computed polymorph in meV/atom: 760
DFT total energy in eV per atom: -7.5122

# 3
ZrTi5Rh6 after structural relaxation, computed with GGA-PBE.

Unit cell a=4.2078 b=12.6641 c=6.9911 alpha=90.00 beta=90.00 gamma=90.00
Closest atoms and distances in Å follow each position.
Space group Cmmm (No. 65)
Unique sites:
1 Zr 0.0000 0.0000 0.0000 [2 per cell]  8 Rh 2.83-2.85, 4 Ti 3.06
2 Ti 0.0000 0.0000 0.5000 [2 per cell]  8 Rh 2.65-2.67
3 Ti 0.0000 0.3246 0.0000 [4 per cell]  8 Rh 2.74-2.91, 2 Ti 2.83, 2 Zr 3.06
4 Ti 0.0000 0.3335 0.5000 [4 per cell]  8 Rh 2.63-2.65
5 Rh 0.0000 0.1684 0.2708 [8 per cell]  7 Ti 2.63-2.83, 1 Zr 2.85, 2 Rh 2.95
6 Rh 0.0000 0.5000 0.2700 [4 per cell]  6 Ti 2.65-2.91, 2 Zr 2.83

Values from the calculation:
ΔH_f (0 K) in eV per atom: -0.744
DOS(E_F) in states/eV/atom: 1.04
DFT total energy in eV per atom: -8.4217

# 4
ZrTiRh2 after structural relaxation, computed with GGA-PBE.

Unit cell a=4.2167 b=4.2167 c=16.7857 alpha=90.00 beta=90.00 gamma=90.00
Closest atoms and distances in Å follow each position.
Space group I-42d (No. 122)
Unique sites:
1 Zr 0.0000 0.0000 0.0000 [4 per cell]  4 Rh 2.62
2 Ti 0.0000 0.0000 0.5000 [4 per cell]  4 Rh 2.53
3 Rh 0.2217 0.2500 0.6250 [8 per cell]  2 Ti 2.53, 2 Zr 2.62, 2 Rh 2.82

Values from the calculation:
ΔH_f (0 K) in eV per atom: -0.046
DOS(E_F) in states/eV/atom: 1.37
ΔE to the lowest computed polymorph in meV/atom: 719
DFT total energy in eV per atom: -7.8326

# 5
Zr2Ti2Rh after structural relaxation, computed with GGA-PBE.

Unit cell a=12.1349 b=5.6311 c=5.7133 alpha=90.00 beta=105.44 gamma=90.00
Closest atoms and distances in Å follow each position.
Space group C2/c (No. 15)
Unique sites:
1 Zr 0.1066 0.1199 0.4933 [8 per cell]  2 Rh 2.76-3.08, 1 Zr 2.94, 4 Ti 2.96-2.98
2 Ti 0.1790 0.3826 0.1091 [8 per cell]  2 Rh 2.57-2.75, 1 Ti 2.81
3 Rh 0.0000 0.4165 0.7500 [4 per cell]  4 Ti 2.57-2.75, 2 Zr 2.76

Values from the calculation:
ΔH_f (0 K) in eV per atom: -0.214
DOS(E_F) in states/eV/atom: 1.36
ΔE to the lowest computed polymorph in meV/atom: 11
DFT total energy in eV per atom: -8.2613

# 6
Zr2Ti6Rh after structural relaxation, computed with GGA-PBE.

Unit cell a=13.9133 b=8.0116 c=2.8720 alpha=90.00 beta=90.12 gamma=90.00
Closest atoms and distances in Å follow each position.
Space group C2/m (No. 12)
Unique sites:
1 Zr 0.1663 0.0000 0.0002 [4 per cell]  2 Zr 2.87, 12 Ti 3.09-3.10
2 Ti 0.0000 0.1819 0.5000 [4 per cell]  2 Ti 2.56
3 Ti 0.1592 0.3411 0.4977 [8 per cell]  2 Ti 2.55-2.56
4 Rh 0.0000 0.5000 0.0000 [2 per cell]  2 Rh 2.87, 12 Ti 2.92-2.94

Values from the calculation:
ΔH_f (0 K) in eV per atom: -0.032
DOS(E_F) in states/eV/atom: 1.03
DFT total energy in eV per atom: -8.0118